# 1
This record from Alexandria describes a relaxed structure of ScAl4Zn. The functional is GGA-PBE. Values from VASP.

- Energy: -3.925 eV per atom
- Space-group type: No. 65

The structure in Quantum ESPRESSO input format:
```
&SYSTEM
  ibrav = 0, nat = 6, ntyp = 3
/
ATOMIC_SPECIES
Al 26.98 Al.upf
Sc 44.96 Sc.upf
Zn 65.41 Zn.upf
CELL_PARAMETERS angstrom
-2.2916 3.4346 -1.9071
-4.5279 0.3030 0.3001
0.5491 3.1772 5.0636
ATOMIC_POSITIONS crystal
Al 0.6648 0.6649 0.2650
Al 0.6649 0.6649 0.7361
Al 0.3352 0.3351 0.7350
Al 0.3351 0.3351 0.2639
Sc 0.0000 0.0000 0.0000
Zn 0.0000 0.0000 0.5000
```

---

# 2
This record from Alexandria describes a relaxed structure of Pm4H4Pb3. The functional is GGA-PBE. Values from VASP.

- Energy: -4.482 eV per atom
- Space-group type: No. 217

The structure in Quantum ESPRESSO input format:
```
&SYSTEM
  ibrav = 0, nat = 11, ntyp = 3
/
ATOMIC_SPECIES
Pm 145.00 Pm.upf
Pb 207.20 Pb.upf
H 1.01 H.upf
CELL_PARAMETERS angstrom
6.2968 0.0000 -2.2263
-3.1484 5.4532 -2.2263
0.0000 0.0000 6.6788
ATOMIC_POSITIONS crystal
Pm 0.0000 0.0000 0.6468
Pm 0.3532 0.3532 0.3532
Pm 0.0000 0.6468 0.0000
Pm 0.6468 0.0000 0.0000
Pb 0.5000 0.0000 0.5000
Pb 0.0000 0.5000 0.5000
Pb 0.5000 0.5000 0.0000
H 0.2432 0.0000 0.0000
H 0.7568 0.7568 0.7568
H 0.0000 0.2432 0.0000
H 0.0000 0.0000 0.2432
```

---

# 3
This record from Alexandria describes a relaxed structure of AsRh2Cl. The functional is GGA-PBE. Values from VASP.

- Energy: -5.185 eV per atom
- Space-group type: No. 71
- Distance to the lowest polymorph of the same formula: 318 meV per atom

The structure in Quantum ESPRESSO input format:
```
&SYSTEM
  ibrav = 0, nat = 4, ntyp = 3
/
ATOMIC_SPECIES
Rh 102.91 Rh.upf
As 74.92 As.upf
Cl 35.45 Cl.upf
CELL_PARAMETERS angstrom
-0.2249 5.1291 0.0547
-4.9870 0.7425 0.9695
4.4663 -1.7010 1.8762
ATOMIC_POSITIONS crystal
Rh 0.9782 0.9782 0.0000
Rh 0.5218 0.5218 0.0000
As 0.7500 0.2500 0.5000
Cl 0.2500 0.7500 0.5000
```

---

# 4
This record from Alexandria describes a relaxed structure of SrCd2Cu2. The functional is GGA-PBE. Values from VASP.

- Energy: -2.268 eV per atom
- Space-group type: No. 127
- Distance to the lowest polymorph of the same formula: 199 meV per atom

The structure in Quantum ESPRESSO input format:
```
&SYSTEM
  ibrav = 0, nat = 10, ntyp = 3
/
ATOMIC_SPECIES
Cd 112.41 Cd.upf
Cu 63.55 Cu.upf
Sr 87.62 Sr.upf
CELL_PARAMETERS angstrom
-7.5551 -2.5618 -1.9896
2.6040 -7.7972 0.1515
-0.7219 -0.1833 2.9774
ATOMIC_POSITIONS crystal
Cd 0.1256 0.3744 0.0000
Cd 0.3744 0.8744 0.0000
Cd 0.6256 0.1256 0.0000
Cd 0.8744 0.6256 0.0000
Cu 0.6703 0.8297 0.5000
Cu 0.3297 0.1703 0.5000
Cu 0.8297 0.3297 0.5000
Cu 0.1703 0.6703 0.5000
Sr 0.0000 0.0000 0.0000
Sr 0.5000 0.5000 0.0000
```

---

# 5
This record from Alexandria describes a relaxed structure of Tb2YSn2. The functional is GGA-PBE. Values from VASP.

- Energy: -5.378 eV per atom
- Space-group type: No. 36

The structure in Quantum ESPRESSO input format:
```
&SYSTEM
  ibrav = 0, nat = 10, ntyp = 3
/
ATOMIC_SPECIES
Sn 118.71 Sn.upf
Tb 158.93 Tb.upf
Y 88.91 Y.upf
CELL_PARAMETERS angstrom
4.9625 0.0000 0.0000
0.0000 6.4885 0.0000
-2.4812 0.0000 9.1066
ATOMIC_POSITIONS crystal
Sn 0.8030 0.9744 0.6060
Sn 0.5742 0.9781 0.1483
Sn 0.1970 0.4744 0.3940
Sn 0.4258 0.4781 0.8517
Tb 0.8106 0.4749 0.6213
Tb 0.1894 0.9749 0.3787
Tb 0.9993 0.7280 0.9986
Tb 0.0007 0.2280 0.0014
Y 0.3938 0.9791 0.7877
Y 0.6062 0.4791 0.2123
```

---

# 6
This record from Alexandria describes a relaxed structure of RbPt3Br. The functional is GGA-PBE. Values from VASP.

- Energy: -3.388 eV per atom
- Space-group type: No. 221
- Distance to the lowest polymorph of the same formula: 0 meV per atom

The structure in Quantum ESPRESSO input format:
```
&SYSTEM
  ibrav = 0, nat = 5, ntyp = 3
/
ATOMIC_SPECIES
Pt 195.08 Pt.upf
Rb 85.47 Rb.upf
Br 79.90 Br.upf
CELL_PARAMETERS angstrom
-3.1031 1.3587 3.5953
-3.3532 -3.2152 -1.6792
1.8782 -3.4954 2.9420
ATOMIC_POSITIONS crystal
Pt 0.5000 0.0000 0.0000
Pt 0.0000 0.0000 0.5000
Pt 0.0000 0.5000 0.0000
Rb 0.5000 0.5000 0.5000
Br 0.0000 0.0000 0.0000
```

---

# 7
This record from Alexandria describes a relaxed structure of SrGdCu2. The functional is GGA-PBE. Values from VASP.

- Energy: -6.033 eV per atom
- Space-group type: No. 123
- Distance to the lowest polymorph of the same formula: 59 meV per atom

The structure in Quantum ESPRESSO input format:
```
&SYSTEM
  ibrav = 0, nat = 4, ntyp = 3
/
ATOMIC_SPECIES
Cu 63.55 Cu.upf
Gd 157.25 Gd.upf
Sr 87.62 Sr.upf
CELL_PARAMETERS angstrom
3.5597 0.0000 0.0000
0.0000 5.1566 0.0000
0.0000 0.0000 5.1566
ATOMIC_POSITIONS crystal
Cu 0.0000 0.0000 0.5000
Cu 0.0000 0.5000 0.0000
Gd 0.5000 0.5000 0.5000
Sr 0.5000 0.0000 0.0000
```

---

# 8
This record from Alexandria describes a relaxed structure of Li4DySc3Te8. The functional is GGA-PBE. Values from VASP.

- Energy: -4.725 eV per atom
- Space-group type: No. 166

The structure in Quantum ESPRESSO input format:
```
&SYSTEM
  ibrav = 0, nat = 16, ntyp = 4
/
ATOMIC_SPECIES
Te 127.60 Te.upf
Sc 44.96 Sc.upf
Li 6.94 Li.upf
Dy 162.50 Dy.upf
CELL_PARAMETERS angstrom
8.4173 0.0000 0.0000
0.0000 8.5163 0.0620
-4.2087 -4.2045 5.9550
ATOMIC_POSITIONS crystal
Te 0.2546 0.7485 0.9940
Te 0.2527 0.2581 0.5053
Te 0.7454 0.2515 0.0060
Te 0.7394 0.7485 0.9940
Te 0.7454 0.2516 0.4909
Te 0.2606 0.2515 0.0060
Te 0.7473 0.7419 0.4947
Te 0.2546 0.7484 0.5091
Sc 0.5000 0.5000 0.0000
Sc 0.0000 0.5000 0.5000
Sc 0.5000 0.5000 0.5000
Li 0.5000 0.0000 0.0000
Li 0.0000 0.0000 0.5000
Li 0.0000 0.0000 0.0000
Li 0.5000 0.0000 0.5000
Dy 0.0000 0.5000 0.0000
```